Below is crystalline GePt2Au at its relaxed geometry, with properties calculated at the PBE level.

Cell and atoms, written as POSCAR:
```
GePt2Au
1.0
7.149 0.000 0.000
0.000 7.149 0.000
3.574 3.574 2.721
Ge Au Pt
2 2 4
direct
0.500 0.500 0.000
0.250 0.750 0.500
0.000 0.000 0.000
0.750 0.250 0.500
0.589 0.125 0.250
0.161 0.625 0.250
0.375 0.411 0.750
0.875 0.839 0.750
```

Properties
- SG: I-42d
- Crystal system: tetragonal
- Energy of formation from the pure elements: -0.58 eV/f.u.
- Energy: -5.1380 eV per atom
- Total magnetic moment: 0.000 μB per cell